[1]
Material: TaAl2Pt
Method: DFT, PBE
State: optimized geometry

abc: 4.0712 4.0712 3.7782
angles: 90.00 90.00 90.00
Closest atoms and distances in Å follow each position.
Fractional positions:
Ta1 0.0000 0.0000 0.0000  8 Al 2.78, 4 Pt 2.88
Al1 0.0000 0.5000 0.5000  4 Ta 2.78, 4 Pt 2.78, 4 Al 2.88
Al2 0.5000 0.0000 0.5000  4 Ta 2.78, 4 Pt 2.78, 4 Al 2.88
Pt1 0.5000 0.5000 0.0000  8 Al 2.78, 4 Ta 2.88

Fermi-level density of states (states/eV/atom): 0.40
Calculated volume (Å³ per atom): 15.7
Formation energy from the elements (eV/atom): -0.586
Space group: P4/mmm (123)

***

[2]
Material: CeCuPt2
Method: DFT, PBE
State: optimized geometry

abc: 6.6738 6.6738 6.6738
angles: 90.00 90.00 90.00
Closest atoms and distances in Å follow each position.
Fractional positions:
Ce1 0.0000 0.0000 0.0000  8 Pt 2.89
Ce2 0.0000 0.5000 0.5000  8 Pt 2.89
Ce3 0.5000 0.0000 0.5000  8 Pt 2.89
Ce4 0.5000 0.5000 0.0000  8 Pt 2.89
Cu1 0.0000 0.0000 0.5000  8 Pt 2.89
Cu2 0.0000 0.5000 0.0000  8 Pt 2.89
Cu3 0.5000 0.0000 0.0000  8 Pt 2.89
Cu4 0.5000 0.5000 0.5000  8 Pt 2.89
Pt1 0.2500 0.2500 0.2500  4 Ce 2.89, 4 Cu 2.89
Pt2 0.2500 0.2500 0.7500  4 Cu 2.89, 4 Ce 2.89
Pt3 0.2500 0.7500 0.2500  4 Cu 2.89, 4 Ce 2.89
Pt4 0.2500 0.7500 0.7500  4 Ce 2.89, 4 Cu 2.89
Pt5 0.7500 0.2500 0.2500  4 Cu 2.89, 4 Ce 2.89
Pt6 0.7500 0.2500 0.7500  4 Ce 2.89, 4 Cu 2.89
Pt7 0.7500 0.7500 0.2500  4 Ce 2.89, 4 Cu 2.89
Pt8 0.7500 0.7500 0.7500  4 Ce 2.89, 4 Cu 2.89

Fermi-level density of states (states/eV/atom): 0.81
Calculated volume (Å³ per atom): 18.6
Formation energy from the elements (eV/atom): -0.607
Space group: Fm-3m (225)

***

[3]
Material: AcMnGe3
Method: DFT, PBE
State: optimized geometry

abc: 6.3526 6.3526 5.8840
angles: 90.00 90.00 120.00
Closest atoms and distances in Å follow each position.
Fractional positions:
Ac1 0.3333 0.6667 0.2500  12 Ge 3.19-3.34
Ac2 0.6667 0.3333 0.7500  12 Ge 3.19-3.34
Mn1 0.0000 0.0000 0.0000  6 Ge 2.56
Mn2 0.0000 0.0000 0.5000  6 Ge 2.56
Ge1 0.1901 0.3802 0.7500  2 Mn 2.56, 2 Ge 2.73
Ge2 0.1901 0.8099 0.7500  2 Mn 2.56, 2 Ge 2.73
Ge3 0.3802 0.1901 0.2500  2 Mn 2.56, 2 Ge 2.73
Ge4 0.6198 0.8099 0.7500  2 Mn 2.56, 2 Ge 2.73
Ge5 0.8099 0.1901 0.2500  2 Mn 2.56, 2 Ge 2.73
Ge6 0.8099 0.6198 0.2500  2 Mn 2.56, 2 Ge 2.73

Fermi-level density of states (states/eV/atom): 0.53
Calculated volume (Å³ per atom): 20.6
Distance to the lowest polymorph of the same formula (meV per atom): 4
Formation energy from the elements (eV/atom): -0.395
Space group: P6_3/mmc (194)

***

[4]
Material: KZnAu
Method: DFT, PBE
State: optimized geometry

abc: 7.6947 7.6947 7.6947
angles: 90.00 90.00 90.00
Closest atoms and distances in Å follow each position.
Fractional positions:
K1 0.0000 0.0000 0.0000  4 Au 3.33, 4 Zn 3.33
K2 0.0000 0.5000 0.5000  4 Au 3.33, 4 Zn 3.33
K3 0.5000 0.0000 0.5000  4 Au 3.33, 4 Zn 3.33
K4 0.5000 0.5000 0.0000  4 Au 3.33, 4 Zn 3.33
Zn1 0.2500 0.2500 0.7500  4 K 3.33
Zn2 0.2500 0.7500 0.2500  4 K 3.33
Zn3 0.7500 0.2500 0.2500  4 K 3.33
Zn4 0.7500 0.7500 0.7500  4 K 3.33
Au1 0.2500 0.2500 0.2500  4 K 3.33
Au2 0.2500 0.7500 0.7500  4 K 3.33
Au3 0.7500 0.2500 0.7500  4 K 3.33
Au4 0.7500 0.7500 0.2500  4 K 3.33

Fermi-level density of states (states/eV/atom): 0.03
Calculated volume (Å³ per atom): 38.0
Distance to the lowest polymorph of the same formula (meV per atom): 458
Formation energy from the elements (eV/atom): 0.218
Space group: F-43m (216)

***

[5]
Material: NaS
Method: DFT, PBE
State: optimized geometry

abc: 7.7583 4.4792 5.3216
angles: 90.00 90.20 90.00
Closest atoms and distances in Å follow each position.
Fractional positions:
Na1 0.0000 0.0000 0.0000  6 S 3.02-3.04
Na2 0.1667 0.5000 0.5000  6 S 2.80-2.81
Na3 0.5000 0.5000 0.0000  6 S 3.02-3.04
Na4 0.6667 0.0000 0.5000  6 S 2.80-2.81
S1 0.3323 0.0000 0.2959  1 S 2.17
S2 0.3344 0.0000 0.7036  1 S 2.17
S3 0.8323 0.5000 0.2959  1 S 2.17
S4 0.8344 0.5000 0.7036  1 S 2.17

Calculated volume (Å³ per atom): 23.1
Distance to the lowest polymorph of the same formula (meV per atom): 17
Formation energy (no corrections) (eV/atom): -0.812
Space group: Cm (8)

***

[6]
Material: Y2BiSe
Method: DFT, PBE
State: optimized geometry

abc: 6.6843 6.6843 13.5928
angles: 90.00 90.00 90.00
Closest atoms and distances in Å follow each position.
Fractional positions:
Y1 0.2211 0.2500 0.1250  2 Se 2.80, 2 Bi 3.03
Y2 0.2500 0.7211 0.3750  2 Se 2.80, 2 Bi 3.03
Y3 0.2500 0.7789 0.8750  2 Se 2.80, 2 Bi 3.03
Y4 0.2789 0.2500 0.6250  2 Se 2.80, 2 Bi 3.03
Y5 0.7211 0.7500 0.6250  2 Se 2.80, 2 Bi 3.03
Y6 0.7500 0.2211 0.8750  2 Se 2.80, 2 Bi 3.03
Y7 0.7500 0.2789 0.3750  2 Se 2.80, 2 Bi 3.03
Y8 0.7789 0.7500 0.1250  2 Se 2.80, 2 Bi 3.03
Bi1 0.0000 0.0000 0.5000  4 Y 3.03
Bi2 0.0000 0.5000 0.7500  4 Y 3.03
Bi3 0.5000 0.0000 0.2500  4 Y 3.03
Bi4 0.5000 0.5000 0.0000  4 Y 3.03
Se1 0.0000 0.0000 0.0000  4 Y 2.80
Se2 0.0000 0.5000 0.2500  4 Y 2.80
Se3 0.5000 0.0000 0.7500  4 Y 2.80
Se4 0.5000 0.5000 0.5000  4 Y 2.80

Fermi-level density of states (states/eV/atom): 0.75
Calculated volume (Å³ per atom): 38.0
Distance to the lowest polymorph of the same formula (meV per atom): 434
Formation energy (no corrections) (eV/atom): -0.876
Space group: I-42d (122)

***

[7]
Material: Zn5Ge2Pd12
Method: DFT, PBE
State: optimized geometry

abc: 7.4275 7.4275 5.8677
angles: 93.19 93.19 65.22
Closest atoms and distances in Å follow each position.
Fractional positions:
Zn1 0.0000 0.0000 0.0000  6 Pd 2.62-2.63
Zn2 0.2422 0.2422 0.0278  10 Pd 2.70-2.93, 2 Zn 2.82-3.02
Zn3 0.3177 0.3177 0.5856  9 Pd 2.62-2.91, 1 Zn 2.82
Zn4 0.6823 0.6823 0.4144  9 Pd 2.62-2.91, 1 Zn 2.82
Zn5 0.7578 0.7578 0.9722  10 Pd 2.70-2.93, 2 Zn 2.82-3.02
Ge1 0.2384 0.7616 0.5000  8 Pd 2.51-2.73
Ge2 0.7616 0.2384 0.5000  8 Pd 2.51-2.73
Pd1 0.0508 0.5658 0.3003  1 Ge 2.60, 4 Zn 2.62-2.78, 5 Pd 2.72-2.84
Pd2 0.1159 0.1159 0.3876  2 Ge 2.51, 3 Zn 2.62-2.72, 4 Pd 2.77-2.79
Pd3 0.1772 0.6191 0.8927  4 Zn 2.63-2.90, 6 Pd 2.72-2.85, 1 Ge 2.73
Pd4 0.3809 0.8228 0.1073  4 Zn 2.63-2.90, 6 Pd 2.72-2.85, 1 Ge 2.73
Pd5 0.4342 0.9492 0.6997  1 Ge 2.60, 4 Zn 2.62-2.78, 5 Pd 2.72-2.84
Pd6 0.4561 0.4561 0.2619  2 Ge 2.56, 1 Zn 2.65, 6 Pd 2.74-2.85
Pd7 0.5439 0.5439 0.7381  2 Ge 2.56, 1 Zn 2.65, 6 Pd 2.74-2.85
Pd8 0.5658 0.0508 0.3003  1 Ge 2.60, 4 Zn 2.62-2.78, 5 Pd 2.72-2.84
Pd9 0.6191 0.1772 0.8927  4 Zn 2.63-2.90, 6 Pd 2.72-2.85, 1 Ge 2.73
Pd10 0.8228 0.3809 0.1073  4 Zn 2.63-2.90, 6 Pd 2.72-2.85, 1 Ge 2.73
Pd11 0.8841 0.8841 0.6124  2 Ge 2.51, 3 Zn 2.62-2.72, 4 Pd 2.77-2.79
Pd12 0.9492 0.4342 0.6997  1 Ge 2.60, 4 Zn 2.62-2.78, 5 Pd 2.72-2.84

Fermi-level density of states (states/eV/atom): 0.34
Calculated volume (Å³ per atom): 15.4
Formation energy from the elements (eV/atom): -0.394
Space group: C2/m (12)

***

[8]
Material: NbSbRhAu2
Method: DFT, PBE
State: optimized geometry

abc: 4.9858 4.9858 4.7777
angles: 90.00 90.00 90.00
Closest atoms and distances in Å follow each position.
Fractional positions:
Nb1 0.0000 0.0000 0.0000  8 Au 3.45, 4 Sb 3.53
Sb1 0.5000 0.5000 0.0000  2 Rh 2.39
Rh1 0.5000 0.5000 0.5000  2 Sb 2.39, 4 Au 2.49
Au1 0.0000 0.5000 0.5000  2 Rh 2.49
Au2 0.5000 0.0000 0.5000  2 Rh 2.49

Fermi-level density of states (states/eV/atom): 1.68
Calculated volume (Å³ per atom): 23.8
Formation energy (no corrections) (eV/atom): 0.989
Space group: P4/mmm (123)

***

[9]
Material: PrMgScCd
Method: DFT, PBE
State: optimized geometry

abc: 7.4734 7.4734 7.4734
angles: 90.00 90.00 90.00
Closest atoms and distances in Å follow each position.
Fractional positions:
Pr1 0.0000 0.0000 0.0000  4 Mg 3.24, 4 Cd 3.24
Pr2 0.0000 0.5000 0.5000  4 Mg 3.24, 4 Cd 3.24
Pr3 0.5000 0.0000 0.5000  4 Mg 3.24, 4 Cd 3.24
Pr4 0.5000 0.5000 0.0000  4 Mg 3.24, 4 Cd 3.24
Mg1 0.2500 0.2500 0.7500  4 Sc 3.24, 4 Pr 3.24
Mg2 0.2500 0.7500 0.2500  4 Sc 3.24, 4 Pr 3.24
Mg3 0.7500 0.2500 0.2500  4 Sc 3.24, 4 Pr 3.24
Mg4 0.7500 0.7500 0.7500  4 Sc 3.24, 4 Pr 3.24
Sc1 0.0000 0.0000 0.5000  4 Cd 3.24, 4 Mg 3.24
Sc2 0.0000 0.5000 0.0000  4 Cd 3.24, 4 Mg 3.24
Sc3 0.5000 0.0000 0.0000  4 Cd 3.24, 4 Mg 3.24
Sc4 0.5000 0.5000 0.5000  4 Cd 3.24, 4 Mg 3.24
Cd1 0.2500 0.2500 0.2500  4 Pr 3.24, 4 Sc 3.24
Cd2 0.2500 0.7500 0.7500  4 Pr 3.24, 4 Sc 3.24
Cd3 0.7500 0.2500 0.7500  4 Pr 3.24, 4 Sc 3.24
Cd4 0.7500 0.7500 0.2500  4 Pr 3.24, 4 Sc 3.24

Fermi-level density of states (states/eV/atom): 1.25
Calculated volume (Å³ per atom): 26.1
Formation energy from the elements (eV/atom): -0.172
Space group: F-43m (216)

***

[10]
Material: LiPmCrH6
Method: DFT, PBE
State: optimized geometry

abc: 4.4885 4.4885 8.8548
angles: 90.00 90.00 120.00
Closest atoms and distances in Å follow each position.
Fractional positions:
Li1 0.3333 0.6667 0.2500  6 H 1.80
Li2 0.6667 0.3333 0.7500  6 H 1.80
Pm1 0.0000 0.0000 0.0000  12 H 2.48
Pm2 0.0000 0.0000 0.5000  12 H 2.48
Cr1 0.3333 0.6667 0.7500  6 H 1.69
Cr2 0.6667 0.3333 0.2500  6 H 1.69
H1 0.0201 0.5101 0.6180  1 Cr 1.69, 1 Li 1.80
H2 0.0201 0.5101 0.8820  1 Cr 1.69, 1 Li 1.80
H3 0.4899 0.5101 0.6180  1 Cr 1.69, 1 Li 1.80
H4 0.4899 0.5101 0.8820  1 Cr 1.69, 1 Li 1.80
H5 0.4899 0.9799 0.6180  1 Cr 1.69, 1 Li 1.80
H6 0.4899 0.9799 0.8820  1 Cr 1.69, 1 Li 1.80
H7 0.5101 0.0201 0.1180  1 Cr 1.69, 1 Li 1.80
H8 0.5101 0.0201 0.3820  1 Cr 1.69, 1 Li 1.80
H9 0.5101 0.4899 0.1180  1 Cr 1.69, 1 Li 1.80
H10 0.5101 0.4899 0.3820  1 Cr 1.69, 1 Li 1.80
H11 0.9799 0.4899 0.1180  1 Cr 1.69, 1 Li 1.80
H12 0.9799 0.4899 0.3820  1 Cr 1.69, 1 Li 1.80

Fermi-level density of states (states/eV/atom): 0.11
Calculated volume (Å³ per atom): 8.6
Space group: P6_3/mmc (194)

***

[11]
Material: SrAcTbEu
Method: DFT, PBE
State: optimized geometry

abc: 8.7655 8.7655 8.7655
angles: 90.00 90.00 90.00
Closest atoms and distances in Å follow each position.
Fractional positions:
Sr1 0.0000 0.0000 0.0000  4 Ac 3.80, 4 Eu 3.80
Sr2 0.0000 0.5000 0.5000  4 Ac 3.80, 4 Eu 3.80
Sr3 0.5000 0.0000 0.5000  4 Ac 3.80, 4 Eu 3.80
Sr4 0.5000 0.5000 0.0000  4 Ac 3.80, 4 Eu 3.80
Ac1 0.2500 0.2500 0.7500  4 Tb 3.80, 4 Sr 3.80
Ac2 0.2500 0.7500 0.2500  4 Tb 3.80, 4 Sr 3.80
Ac3 0.7500 0.2500 0.2500  4 Tb 3.80, 4 Sr 3.80
Ac4 0.7500 0.7500 0.7500  4 Tb 3.80, 4 Sr 3.80
Tb1 0.0000 0.0000 0.5000  4 Ac 3.80, 4 Eu 3.80
Tb2 0.0000 0.5000 0.0000  4 Ac 3.80, 4 Eu 3.80
Tb3 0.5000 0.0000 0.0000  4 Ac 3.80, 4 Eu 3.80
Tb4 0.5000 0.5000 0.5000  4 Ac 3.80, 4 Eu 3.80
Eu1 0.2500 0.2500 0.2500  4 Tb 3.80, 4 Sr 3.80
Eu2 0.2500 0.7500 0.7500  4 Tb 3.80, 4 Sr 3.80
Eu3 0.7500 0.2500 0.7500  4 Tb 3.80, 4 Sr 3.80
Eu4 0.7500 0.7500 0.2500  4 Tb 3.80, 4 Sr 3.80

Fermi-level density of states (states/eV/atom): 1.33
Calculated volume (Å³ per atom): 42.1
Formation energy from the elements (eV/atom): 0.161
Space group: F-43m (216)

***

[12]
Material: DyScCoOs
Method: DFT, PBE
State: optimized geometry

abc: 6.5559 6.5559 6.5559
angles: 90.00 90.00 90.00
Closest atoms and distances in Å follow each position.
Fractional positions:
Dy1 0.0000 0.0000 0.0000  4 Co 2.84, 4 Os 2.84
Dy2 0.0000 0.5000 0.5000  4 Co 2.84, 4 Os 2.84
Dy3 0.5000 0.0000 0.5000  4 Co 2.84, 4 Os 2.84
Dy4 0.5000 0.5000 0.0000  4 Co 2.84, 4 Os 2.84
Sc1 0.0000 0.0000 0.5000  4 Co 2.84, 4 Os 2.84
Sc2 0.0000 0.5000 0.0000  4 Co 2.84, 4 Os 2.84
Sc3 0.5000 0.0000 0.0000  4 Co 2.84, 4 Os 2.84
Sc4 0.5000 0.5000 0.5000  4 Co 2.84, 4 Os 2.84
Co1 0.2500 0.2500 0.7500  4 Dy 2.84, 4 Sc 2.84
Co2 0.2500 0.7500 0.2500  4 Dy 2.84, 4 Sc 2.84
Co3 0.7500 0.2500 0.2500  4 Dy 2.84, 4 Sc 2.84
Co4 0.7500 0.7500 0.7500  4 Dy 2.84, 4 Sc 2.84
Os1 0.2500 0.2500 0.2500  4 Sc 2.84, 4 Dy 2.84
Os2 0.2500 0.7500 0.7500  4 Dy 2.84, 4 Sc 2.84
Os3 0.7500 0.2500 0.7500  4 Dy 2.84, 4 Sc 2.84
Os4 0.7500 0.7500 0.2500  4 Dy 2.84, 4 Sc 2.84

Fermi-level density of states (states/eV/atom): 0.93
Calculated volume (Å³ per atom): 17.6
Formation energy from the elements (eV/atom): -0.216
Space group: F-43m (216)

***

no.,DFT total energy (eV/atom)
1,-6.931
2,-6.135
3,-5.821
4,-1.665
5,-3.536
6,-5.949
7,-4.495
8,-4.630
9,-3.577
10,-4.337
11,-5.013
12,-7.534